Entry from the Alexandria database: an optimized crystal structure of Y19Ho4Th6 (PBE-GGA).

Cell: 12.495 12.495 12.495 Å, 90.00 90.00 90.00°
Space group I23 (No. 197)
Symmetry-distinct sites (fractional):
Y 0.000 0.000 0.000 (multiplicity 2)
Y 0.000 0.000 0.264 (multiplicity 12)
Y 0.066 0.259 0.278 (multiplicity 24)
Ho 0.178 0.178 0.822 (multiplicity 8)
Th 0.000 0.372 0.500 (multiplicity 12)

Output
E_form: 0.425 eV per atom
Electronic total energy: -5.976 eV/atom